Tc2PRh | GGA-PBE | relaxed

Cell lengths 6.095, 6.095, 6.095 Å; angles 90.00, 90.00, 90.00 degrees
Space group F-43m (No. 216)
One atom of each set of equivalent atoms:
Tc  0.000  0.000  0.000 (multiplicity 4)
Tc  0.250  0.250  0.250 (multiplicity 4)
P  0.250  0.250  0.750 (multiplicity 4)
Rh  0.000  0.000  0.500 (multiplicity 4)

Calculated values
Calculated total energy: -8.17 eV/atom
Energy of formation from the pure elements: 0.20 eV/atom
Crystal system: cubic
Calculated volume: 14.1 Å³ per atom